8
Lattice="6.134 0.000 0.000 0.000 6.134 0.000 -3.067 -3.067 6.453" Properties=species:S:1:pos:R:3 comment="PBEsol LiSiTe2, relaxed" dos_ef_per_ev_cell=6.90 volume_a3_per_atom=30.35 de_polymorph_ev_per_fu=0.62 total_magnetization_mub_per_cell=0.0 e_form_raw_ev_per_atom=-0.19 pbc="T T T"
Te 1.534 1.638 4.840
Te 1.429 4.601 1.613
Te -1.534 -1.638 4.840
Te 4.706 1.534 1.613
Si 0.000 0.000 0.000
Si 0.000 3.067 3.226
Li 3.067 3.067 0.000
Li 3.067 0.000 3.226